Entry 1:
Below is a geometry-optimized K2MgSi structure, with properties calculated at the PBE level.

Geometry as POSCAR:
```
K2MgSi
1.0
-11.833 -4.154 4.141
5.766 -6.528 9.928
-3.231 -3.376 8.442
Mg K Si
2 4 2
Cartesian
-3.033 -5.341 7.034 Mg
-0.249 -7.622 12.702 Mg
-5.098 -3.419 5.105 K
-1.067 -6.280 9.667 K
-3.536 -7.853 13.607 K
-8.893 -10.563 16.641 K
0.000 0.000 0.000 Si
-9.048 -6.435 9.809 Si
```

Results
As for the symmetry: No. 122. For the density of states at the Fermi level, the calculation gives 1.2 states/eV/cell.

---

Entry 2:
Below is a geometry-optimized KMgSi2 structure, with properties calculated at the PBE level.

Geometry as POSCAR:
```
KMgSi2
1.0
5.356 -0.024 0.000
1.456 5.154 0.000
-3.406 -2.565 3.241
K Mg Si
1 1 2
Cartesian
3.406 2.565 0.000 K
2.678 -0.012 1.621 Mg
0.000 0.000 0.000 Si
0.728 2.577 1.621 Si
```

Results
As for the symmetry: No. 119. For the density of states at the Fermi level, the calculation gives 1.5 states/eV/cell.

---

Entry 3:
Below is a geometry-optimized KMg4Si structure, with properties calculated at the PBE level.

Geometry as POSCAR:
```
KMg4Si
1.0
-5.416 2.659 0.492
-1.562 4.419 -3.832
-4.251 -0.993 -4.194
K Mg Si
1 4 1
Cartesian
0.000 0.000 0.000 K
-6.906 3.606 -2.590 Mg
-6.330 1.798 -4.911 Mg
-4.998 4.477 -4.731 Mg
-4.225 2.289 -2.834 Mg
-8.422 4.564 -5.650 Si
```

Results
As for the symmetry: No. 216. For the density of states at the Fermi level, the calculation gives 3.3 states/eV/cell.

---

Entry 4:
Below is a geometry-optimized KMgSi structure, with properties calculated at the PBE level.

Geometry as POSCAR:
```
KMgSi
1.0
7.665 -0.004 0.004
6.926 3.287 0.002
0.740 0.172 3.286
K Mg Si
1 1 1
Cartesian
1.015 0.234 3.221 K
4.767 1.077 2.332 Mg
10.288 2.317 1.025 Si
```

Results
As for the symmetry: No. 107. For the density of states at the Fermi level, the calculation gives 1.3 states/eV/cell.

---

| no. | formation energy (no corrections) (meV/atom) | final energy (eV per cell) | V (Å³/f.u.) |
| --- | --- | --- | --- |
| 1 | 331 | -15.775 | 211.5 |
| 2 | 542 | -11.369 | 89.6 |
| 3 | 327 | -10.937 | 156.9 |
| 4 | 267 | -7.315 | 82.9 |